The following is a DFT calculation (meta-GGA SCAN) of a PBEsol-optimized structure of KCa5Mg5AlSi12O36.

Values from the calculation:
DFT total energy = -10.411 eV per atom

Lattice parameters (Å, degrees): 9.714 8.912 15.796 90.00 105.82 90.00
Space group C2 (No. 5)
Symmetry-distinct sites (fractional):
1 K 0.000 0.000 0.000 (multiplicity 2)
2 Ca 0.000 0.394 0.500 (multiplicity 2)
3 Ca 0.002 0.996 0.669 (multiplicity 4)
4 Ca 0.007 0.392 0.832 (multiplicity 4)
5 Mg 0.000 0.788 0.500 (multiplicity 2)
6 Mg 0.001 0.605 0.334 (multiplicity 4)
7 Mg 0.003 0.788 0.166 (multiplicity 4)
8 Al 0.000 0.599 0.000 (multiplicity 2)
9 Si 0.212 0.102 0.506 (multiplicity 4)
10 Si 0.213 0.286 0.010 (multiplicity 4)
11 Si 0.213 0.290 0.340 (multiplicity 4)
12 Si 0.214 0.289 0.674 (multiplicity 4)
13 Si 0.215 0.101 0.844 (multiplicity 4)
14 Si 0.218 0.100 0.176 (multiplicity 4)
15 O 0.110 0.603 0.122 (multiplicity 4)
16 O 0.110 0.611 0.796 (multiplicity 4)
17 O 0.113 0.783 0.298 (multiplicity 4)
18 O 0.115 0.607 0.465 (multiplicity 4)
19 O 0.115 0.757 0.966 (multiplicity 4)
20 O 0.115 0.785 0.631 (multiplicity 4)
21 O 0.134 0.447 0.982 (multiplicity 4)
22 O 0.135 0.445 0.644 (multiplicity 4)
23 O 0.136 0.945 0.474 (multiplicity 4)
24 O 0.138 0.944 0.816 (multiplicity 4)
25 O 0.139 0.448 0.307 (multiplicity 4)
26 O 0.147 0.218 0.419 (multiplicity 4)
27 O 0.148 0.175 0.254 (multiplicity 4)
28 O 0.148 0.176 0.585 (multiplicity 4)
29 O 0.148 0.188 0.916 (multiplicity 4)
30 O 0.152 0.218 0.091 (multiplicity 4)
31 O 0.154 0.206 0.752 (multiplicity 4)
32 O 0.156 0.935 0.152 (multiplicity 4)

The following is a DFT calculation (meta-GGA SCAN) of a PBEsol-optimized structure of La3SiRh.

Values from the calculation:
DFT total energy = -34.993 eV per atom

Lattice parameters (Å, degrees): 5.353 5.353 5.353 90.00 90.00 90.00
Space group Pm-3m (No. 221)
Symmetry-distinct sites (fractional):
1 La 0.000 0.000 0.500 (multiplicity 3)
2 Si 0.500 0.500 0.500 (multiplicity 1)
3 Rh 0.000 0.000 0.000 (multiplicity 1)

The following is a DFT calculation (meta-GGA SCAN) of a PBEsol-optimized structure of Tm2CoOs.

Values from the calculation:
formation energy from the elements = -0.37 eV/atom

Lattice parameters (Å, degrees): 6.555 6.555 6.555 90.00 90.00 90.00
Space group Fm-3m (No. 225)
Symmetry-distinct sites (fractional):
1 Tm 0.250 0.250 0.250 (multiplicity 8)
2 Co 0.000 0.000 0.000 (multiplicity 4)
3 Os 0.000 0.000 0.500 (multiplicity 4)

The following is a DFT calculation (meta-GGA SCAN) of a PBEsol-optimized structure of Li2CaBi2.

Values from the calculation:
formation energy from the elements = -0.50 eV/atom

Lattice parameters (Å, degrees): 8.616 8.616 3.416 90.00 90.00 90.00
Space group P4/mbm (No. 127)
Symmetry-distinct sites (fractional):
1 Li 0.124 0.376 0.000 (multiplicity 4)
2 Ca 0.000 0.000 0.500 (multiplicity 2)
3 Bi 0.169 0.669 0.500 (multiplicity 4)

The following is a DFT calculation (meta-GGA SCAN) of a PBEsol-optimized structure of Ti6O.

Values from the calculation:
DFT total energy = -15.508 eV per atom

Lattice parameters (Å, degrees): 5.0504 5.0504 4.6925 90.00 90.00 120.00
Space group P-31m (No. 162)
Symmetry-distinct sites (fractional):
1 Ti 0.0000 0.3317 0.2399 (multiplicity 6)
2 O 0.0000 0.0000 0.5000 (multiplicity 1)

The following is a DFT calculation (meta-GGA SCAN) of a PBEsol-optimized structure of TiSnP2O8.

Values from the calculation:
DFT total energy = -12.684 eV per atom

Lattice parameters (Å, degrees): 4.984 6.227 10.682 90.00 101.61 90.00
Space group P2_1/m (No. 11)
Symmetry-distinct sites (fractional):
1 Ti 0.164 0.250 0.202 (multiplicity 2)
2 Sn 0.285 0.250 0.689 (multiplicity 2)
3 P 0.115 0.750 0.100 (multiplicity 2)
4 P 0.183 0.750 0.626 (multiplicity 2)
5 O 0.048 0.566 0.694 (multiplicity 4)
6 O 0.091 0.750 0.952 (multiplicity 2)
7 O 0.119 0.750 0.484 (multiplicity 2)
8 O 0.172 0.250 0.871 (multiplicity 2)
9 O 0.281 0.546 0.155 (multiplicity 4)
10 O 0.496 0.750 0.679 (multiplicity 2)

The following is a DFT calculation (meta-GGA SCAN) of a PBEsol-optimized structure of TlCuSe2.

Values from the calculation:
DFT total energy = -32.106 eV per atom

Lattice parameters (Å, degrees): 11.264 3.632 5.190 90.00 90.08 90.00
Space group Cm (No. 8)
Symmetry-distinct sites (fractional):
1 Tl 0.000 0.000 0.000 (multiplicity 2)
2 Cu 0.290 0.500 0.500 (multiplicity 2)
3 Se 0.159 0.000 0.500 (multiplicity 2)
4 Se 0.423 0.000 0.500 (multiplicity 2)

The following is a DFT calculation (meta-GGA SCAN) of a PBEsol-optimized structure of Al3HgI.

Values from the calculation:
DFT total energy = -24.459 eV per atom

Lattice parameters (Å, degrees): 5.765 5.765 5.765 90.00 90.00 90.00
Space group Pm-3m (No. 221)
Symmetry-distinct sites (fractional):
1 Al 0.000 0.000 0.500 (multiplicity 3)
2 Hg 0.500 0.500 0.500 (multiplicity 1)
3 I 0.000 0.000 0.000 (multiplicity 1)